The following is a meta-GGA SCAN calculation of Mn3Ir at its PBEsol-relaxed geometry, from the Alexandria database.

Properties
- formation energy from the elements (eV/atom) = -0.144

a = 8.3670 Å, b = 2.5658 Å, c = 4.3782 Å
α = 90.00°, β = 100.58°, γ = 90.00°
Last column: nearest neighbours and their distance in Å.
Space group C2/m (No. 12)
Unique sites:
Mn 0.0000 0.0000 0.0000 (multiplicity 2)  8 Mn 2.49-2.57, 4 Ir 2.54
Mn 0.2472 0.5000 0.2334 (multiplicity 4)  9 Mn 2.42-2.66, 3 Ir 2.56
Ir 0.0000 0.5000 0.5000 (multiplicity 2)  10 Mn 2.54-2.56, 2 Ir 2.57

---

The following is a meta-GGA SCAN calculation of Mn3Ir at its PBEsol-relaxed geometry, from the Alexandria database.

Properties
- formation energy from the elements (eV/atom) = -0.130

a = 2.5721 Å, b = 8.0394 Å, c = 4.3861 Å
α = 90.00°, β = 90.00°, γ = 90.00°
Last column: nearest neighbours and their distance in Å.
Space group Imm2 (No. 44)
Unique sites:
Mn 0.0000 0.0000 0.0000 (multiplicity 2)  8 Mn 2.46-2.57, 4 Ir 2.53-2.56
Mn 0.0000 0.2547 0.6627 (multiplicity 4)  9 Mn 2.46-2.57, 3 Ir 2.48-2.52
Ir 0.0000 0.5000 0.0043 (multiplicity 2)  10 Mn 2.48-2.56, 2 Ir 2.57

---

Question: What is the formula in the first record?
Answer: Mn3Ir